(1)
Material: CaY8Ho5
Method: DFT, PBE
State: optimized geometry

Cell lengths 8.467, 8.467, 8.467 Å; angles 110.77, 110.77, 106.90 degrees
Sites, in units of the cell vectors:
1 Ho 0.464 0.058 0.182
2 Ho 0.876 0.282 0.818
3 Ho 0.500 0.500 0.000
4 Ho 0.718 0.536 0.594
5 Ho 0.942 0.124 0.406
6 Y 0.597 0.825 0.417
7 Y 0.226 0.325 0.238
8 Y 0.012 0.774 0.100
9 Y 0.087 0.988 0.762
10 Y 0.675 0.913 0.900
11 Y 0.820 0.403 0.227
12 Y 0.175 0.592 0.773
13 Y 0.408 0.180 0.583
14 Ca 0.250 0.750 0.500

Computed properties:
Volume in Å³/atom: 33.33
Space-group type: I-4
Magnetization in μB/atom: 0.000



(2)
Material: Nb5Tc4W
Method: DFT, PBE
State: optimized geometry

Cell lengths 3.202, 3.202, 16.049 Å; angles 90.00, 90.00, 90.00 degrees
Sites, in units of the cell vectors:
1 Tc 0.000 0.000 0.797
2 Tc 0.000 0.000 0.203
3 Tc 0.000 0.000 0.401
4 Tc 0.000 0.000 0.599
5 Nb 0.500 0.500 0.898
6 Nb 0.500 0.500 0.500
7 Nb 0.500 0.500 0.301
8 Nb 0.500 0.500 0.699
9 Nb 0.500 0.500 0.102
10 W 0.000 0.000 0.000

Computed properties:
Volume in Å³/atom: 16.46
Space-group type: P4/mmm
Magnetization in μB/atom: 0.000



no.,VASP energy (eV per atom)
1,-5.185
2,-10.758